This record from Alexandria describes Si4RhPb after structural relaxation. The functional is GGA-PBE.

The crystal system is cubic. For the total energy, the calculation gives -4.9252 eV/atom. The value obtained for the uncorrected formation energy is 0.533 eV/atom. The volume comes out at 414.8 Å³/cell.

The space group is F-43m (No. 216) and the conventional cell measures 7.458, 7.458 and 7.458 Å, with angles of 90.00, 90.00 and 90.00 degrees. Symmetry generates all atoms from Si at (0.124, 0.124, 0.376), Rh at (0.250, 0.250, 0.750) and Pb at (0.000, 0.000, 0.000).